Entry 1:
Compound: ScTaCl2
Source: the Alexandria database
Functional: PBE
Structure: optimized geometry

```
ScTaCl2
1.0
1.570 0.906 8.752
-1.570 0.906 8.752
0.000 -1.812 8.752
Sc Ta Cl
1 1 2
direct
0.000 0.000 0.000
0.500 0.500 0.500
0.404 0.404 0.404
0.596 0.596 0.596
```

Results
The value obtained for the relative energy among the computed polymorphs is 442.8 meV per atom. As for the uncorrected formation energy: -2.51 eV/f.u. The value obtained for the total magnetic moment is 0.000 μB per formula unit. As for the total energy: -6.10 eV per atom. Its density is 6.60 g/cm3.

Entry 2:
Compound: ScTaCl2
Source: the Alexandria database
Functional: PBE
Structure: optimized geometry

```
ScTaCl2
1.0
4.711 -1.565 0.000
4.711 1.565 0.000
-3.025 0.000 6.280
Sc Ta Cl
1 1 2
direct
0.000 0.000 0.000
0.214 0.214 0.776
0.608 0.608 0.466
0.757 0.757 0.097
```

Results
The value obtained for the relative energy among the computed polymorphs is 613.6 meV per atom. As for the uncorrected formation energy: -1.83 eV/f.u. The value obtained for the total magnetic moment is 0.000 μB per formula unit. As for the total energy: -5.93 eV per atom. Its density is 5.32 g/cm3.

Entry 3:
Compound: ScTaCl2
Source: the Alexandria database
Functional: PBE
Structure: optimized geometry

```
ScTaCl2
1.0
3.182 0.000 0.000
0.000 4.291 0.000
-0.846 0.000 5.566
Sc Ta Cl
1 1 2
direct
0.000 0.000 0.000
0.500 0.000 0.500
0.337 0.500 0.254
0.663 0.500 0.746
```

Results
The value obtained for the relative energy among the computed polymorphs is 695.9 meV per atom. As for the uncorrected formation energy: -1.50 eV/f.u. The value obtained for the total magnetic moment is 0.000 μB per formula unit. As for the total energy: -5.84 eV per atom. Its density is 6.49 g/cm3.